VASP calculation (PBE) on crystalline Mg2GaTcO6 at its relaxed geometry.

Cell lengths 5.156, 5.156, 4.910 Å; angles 90.00, 90.00, 90.00 degrees
Sites, in units of the cell vectors:
Mg 0.000 0.500 0.000
Mg 0.500 0.000 0.000
Ga 0.000 0.000 0.646
Tc 0.500 0.500 0.642
O 0.000 0.000 0.280
O 0.255 0.255 0.815
O 0.255 0.745 0.815
O 0.500 0.500 0.294
O 0.745 0.255 0.815
O 0.745 0.745 0.815

E_form (uncorrected)   -1667 kJ/mol of formula units
Final energy   -6.361 eV per atom